This record from Alexandria describes crystalline RbTc2I at its relaxed geometry. The functional is GGA-PBE.

POSCAR file:
```
RbTc2I
1.0
4.926 0.000 0.000
0.000 4.926 0.000
0.000 0.000 19.222
Rb Tc I
4 8 4
direct
0.000 0.000 0.000 Rb
0.000 0.500 0.250 Rb
0.500 0.000 0.750 Rb
0.500 0.500 0.500 Rb
0.003 0.250 0.625 Tc
0.250 0.503 0.875 Tc
0.250 0.997 0.375 Tc
0.497 0.250 0.125 Tc
0.503 0.750 0.125 Tc
0.750 0.003 0.375 Tc
0.750 0.497 0.875 Tc
0.997 0.750 0.625 Tc
0.000 0.000 0.500 I
0.000 0.500 0.750 I
0.500 0.000 0.250 I
0.500 0.500 0.000 I
```

magnetization: 0.0 μB per cell
Fermi-level density of states: 1.38 states/eV/atom
raw formation energy: 1.117 eV per atom